# Sr3Li7Tl2 PBE relaxed
# - ΔH_f (0 K): -0.114 eV per atom
# - Total magnetization: 0.00 μB per formula unit
# - DOS(E_F): 24.9 states/eV/cell
data_Sr3Li7Tl2
_cell_length_a 6.3049
_cell_length_b 6.3049
_cell_length_c 29.9673
_cell_angle_alpha 90.00
_cell_angle_beta 90.00
_cell_angle_gamma 120.00
_symmetry_space_group_name_H-M 'R -3 m'
_symmetry_Int_Tables_number 166
_symmetry_space_group_name_Hall '-R 3 2"'
loop_
_atom_site_label
_atom_site_type_symbol
_atom_site_fract_x
_atom_site_fract_y
_atom_site_fract_z
Sr1 Sr 0.0000 0.0000 0.0000
Sr2 Sr 0.0000 0.0000 0.1409
Li1 Li 0.0000 0.0000 0.5000
Li2 Li 0.0031 0.5015 0.0769
Tl1 Tl 0.0000 0.0000 0.3321

# Sr3LiTl PBE relaxed
# - ΔH_f (0 K): -0.166 eV per atom
# - Energy relative to the lowest polymorph listed for this composition: 0.023 eV/atom
# - Total magnetization: 0.00 μB per formula unit
# - DOS(E_F): 21.5 states/eV/cell
data_Sr3LiTl
_cell_length_a 7.584
_cell_length_b 9.549
_cell_length_c 10.842
_cell_angle_alpha 90.00
_cell_angle_beta 90.66
_cell_angle_gamma 90.00
_symmetry_space_group_name_H-M 'P 1 21/c 1'
_symmetry_Int_Tables_number 14
loop_
_symmetry_equiv_pos_as_xyz
'x,y,z'
'-x,-y,-z'
'-x,y+1/2,-z+1/2'
'x,-y+1/2,z+1/2'
loop_
_atom_site_label
_atom_site_type_symbol
_atom_site_fract_x
_atom_site_fract_y
_atom_site_fract_z
Sr1 Sr 0.225 0.188 0.376
Sr2 Sr 0.242 0.546 0.586
Sr3 Sr 0.248 0.552 0.173
Li1 Li 0.438 0.705 0.880
Tl1 Tl 0.062 0.706 0.876